Computed, not measured: a relaxed structure of LiLa3Be2O6 at the GGA-PBE level of DFT.

Cell: 5.375 5.375 6.378 Å, 90.00 90.00 120.00°
Atoms (fractional coordinates):
Li 0.000 0.000 0.000
La 0.000 0.000 0.500
La 0.333 0.667 0.142
La 0.667 0.333 0.858
Be 0.333 0.667 0.716
Be 0.667 0.333 0.284
O 0.174 0.348 0.801
O 0.174 0.826 0.801
O 0.348 0.174 0.199
O 0.652 0.826 0.801
O 0.826 0.174 0.199
O 0.826 0.652 0.199

The crystal system is trigonal. The value obtained for the uncorrected formation energy is -256.0 kJ/mol of atoms.


Computed, not measured: a relaxed structure of Gd2LuF at the GGA-PBE level of DFT.

Cell: 3.698 3.698 25.516 Å, 90.00 90.00 120.00°
Atoms (fractional coordinates):
Gd 0.000 0.000 0.224
Gd 0.000 0.000 0.776
Gd 0.333 0.667 0.442
Gd 0.333 0.667 0.891
Gd 0.667 0.333 0.109
Gd 0.667 0.333 0.558
Lu 0.000 0.000 0.000
Lu 0.333 0.667 0.667
Lu 0.667 0.333 0.333
F 0.000 0.000 0.500
F 0.333 0.667 0.167
F 0.667 0.333 0.833

The crystal system is trigonal. The value obtained for the uncorrected formation energy is -108.2 kJ/mol of atoms.


Computed, not measured: a relaxed structure of TbTh2Tl at the GGA-PBE level of DFT.

Cell: 4.728 4.700 11.568 Å, 90.00 101.84 90.00°
Atoms (fractional coordinates):
Tb 0.195 0.250 0.388
Tb 0.805 0.750 0.612
Th 0.061 0.750 0.122
Th 0.440 0.750 0.880
Th 0.560 0.250 0.120
Th 0.939 0.250 0.878
Tl 0.329 0.250 0.660
Tl 0.671 0.750 0.340

The crystal system is monoclinic. For the energy above the most stable polymorph in this dataset, the calculation gives 13 meV per atom. The calculation puts the formation energy at -0.089 eV per atom.